[1]
DFT (PBE) results for a relaxed structure of Y3Tm2S6.

Geometry as CIF:
```
data_Y3Tm2S6
_chemical_formula_sum 'Y6 Tm4 S12'
_cell_length_a 6.736
_cell_length_b 11.625
_cell_length_c 6.692
_cell_angle_alpha 90.00
_cell_angle_beta 109.53
_cell_angle_gamma 90.00
_symmetry_space_group_name_H-M 'C 1 2/m 1'
_symmetry_Int_Tables_number 12
loop_
_symmetry_equiv_pos_as_xyz
'x,y,z'
'-x,-y,-z'
'-x,y,-z'
'x,-y,z'
'x+1/2,y+1/2,z'
'-x+1/2,-y+1/2,-z'
'-x+1/2,y+1/2,-z'
'x+1/2,-y+1/2,z'
loop_
_atom_site_label
_atom_site_fract_x
_atom_site_fract_y
_atom_site_fract_z
Y1 0.000 0.000 0.000
Y2 0.000 0.338 0.000
Tm1 0.000 0.166 0.500
S1 0.247 0.000 0.740
S2 0.250 0.168 0.254
```

As for the energy: -6.891 eV/atom. As for the energy relative to the elements, uncorrected: -2.063 eV per atom. The total magnetization comes out at 0.00 μB per atom.

[2]
DFT (PBE) results for a relaxed structure of Er2Tl4Cd.

Geometry as CIF:
```
data_Er2Tl4Cd
_chemical_formula_sum 'Er4 Tl8 Cd2'
_cell_length_a 13.324
_cell_length_b 5.578
_cell_length_c 5.844
_cell_angle_alpha 90.00
_cell_angle_beta 108.39
_cell_angle_gamma 90.00
_symmetry_space_group_name_H-M 'C 1 2/m 1'
_symmetry_Int_Tables_number 12
loop_
_symmetry_equiv_pos_as_xyz
'x,y,z'
'-x,-y,-z'
'-x,y,-z'
'x,-y,z'
'x+1/2,y+1/2,z'
'-x+1/2,-y+1/2,-z'
'-x+1/2,y+1/2,-z'
'x+1/2,-y+1/2,z'
loop_
_atom_site_label
_atom_site_fract_x
_atom_site_fract_y
_atom_site_fract_z
Er1 0.143 0.000 0.082
Tl1 0.000 0.000 0.500
Tl2 0.000 0.500 0.000
Tl3 0.249 0.500 0.340
Cd1 0.000 0.500 0.500
```

As for the energy: -2.757 eV/atom. The formation energy comes out at 30 meV per atom. The total magnetization comes out at 0.00 μB per atom.

[3]
DFT (PBE) results for a relaxed structure of TaMnFe10.

Geometry as CIF:
```
data_TaMnFe10
_chemical_formula_sum 'Ta1 Mn1 Fe10'
_cell_length_a 4.003
_cell_length_b 4.671
_cell_length_c 8.089
_cell_angle_alpha 90.00
_cell_angle_beta 90.00
_cell_angle_gamma 90.00
_symmetry_space_group_name_H-M 'P m m m'
_symmetry_Int_Tables_number 47
loop_
_symmetry_equiv_pos_as_xyz
'x,y,z'
'-x,-y,-z'
'-x,-y,z'
'x,y,-z'
'x,-y,-z'
'-x,y,z'
'-x,y,-z'
'x,-y,z'
loop_
_atom_site_label
_atom_site_fract_x
_atom_site_fract_y
_atom_site_fract_z
Ta1 0.000 0.000 0.000
Mn1 0.000 0.500 0.500
Fe1 0.000 0.000 0.334
Fe2 0.000 0.500 0.167
Fe3 0.500 0.000 0.500
Fe4 0.500 0.249 0.248
Fe5 0.500 0.500 0.000
```

As for the energy: -8.605 eV/atom. The formation energy comes out at 199 meV per atom. The total magnetization comes out at 1.75 μB per atom.

[4]
DFT (PBE) results for a relaxed structure of Pm2HoPu3Te6.

Geometry as CIF:
```
data_Pm2HoPu3Te6
_chemical_formula_sum 'Pm4 Ho2 Pu6 Te12'
_cell_length_a 19.352
_cell_length_b 4.408
_cell_length_c 8.890
_cell_angle_alpha 90.00
_cell_angle_beta 103.95
_cell_angle_gamma 90.00
_symmetry_space_group_name_H-M 'C 1 2/m 1'
_symmetry_Int_Tables_number 12
loop_
_symmetry_equiv_pos_as_xyz
'x,y,z'
'-x,-y,-z'
'-x,y,-z'
'x,-y,z'
'x+1/2,y+1/2,z'
'-x+1/2,-y+1/2,-z'
'-x+1/2,y+1/2,-z'
'x+1/2,-y+1/2,z'
loop_
_atom_site_label
_atom_site_fract_x
_atom_site_fract_y
_atom_site_fract_z
Pm1 0.167 0.000 0.336
Ho1 0.000 0.500 0.000
Pu1 0.000 0.500 0.500
Pu2 0.169 0.000 0.834
Te1 0.001 0.000 0.756
Te2 0.164 0.500 0.080
Te3 0.165 0.500 0.586
```

As for the energy: -7.572 eV/atom. As for the energy relative to the elements, uncorrected: -1.245 eV per atom. The total magnetization comes out at 1.49 μB per atom.

[5]
DFT (PBE) results for a relaxed structure of Zn4C23.

Geometry as CIF:
```
data_Zn4C23
_chemical_formula_sum 'Zn8 C46'
_cell_length_a 7.100
_cell_length_b 7.100
_cell_length_c 7.100
_cell_angle_alpha 90.00
_cell_angle_beta 90.00
_cell_angle_gamma 90.00
_symmetry_space_group_name_H-M 'P m -3 n'
_symmetry_Int_Tables_number 223
_symmetry_space_group_name_Hall '-P 4n 2 3'
loop_
_atom_site_label
_atom_site_fract_x
_atom_site_fract_y
_atom_site_fract_z
Zn1 0.000 0.000 0.000
Zn2 0.000 0.250 0.500
C1 0.000 0.302 0.129
C2 0.000 0.500 0.250
C3 0.185 0.185 0.185
```

As for the energy: -6.840 eV/atom. The formation energy comes out at 1206 meV per atom. The total magnetization comes out at 0.00 μB per atom.

[6]
DFT (PBE) results for a relaxed structure of KSrBr2.

Geometry as CIF:
```
data_KSrBr2
_chemical_formula_sum 'K3 Sr3 Br6'
_cell_length_a 4.7022
_cell_length_b 4.7022
_cell_length_c 31.1551
_cell_angle_alpha 90.00
_cell_angle_beta 90.00
_cell_angle_gamma 120.00
_symmetry_space_group_name_H-M 'R -3 m'
_symmetry_Int_Tables_number 166
_symmetry_space_group_name_Hall '-R 3 2"'
loop_
_atom_site_label
_atom_site_fract_x
_atom_site_fract_y
_atom_site_fract_z
K1 0.0000 0.0000 0.0000
Sr1 0.0000 0.0000 0.5000
Br1 0.0000 0.0000 0.1178
```

As for the energy: -3.078 eV/atom. The calculation puts the offset from the most stable computed form at 0 meV/atom. As for the energy relative to the elements, uncorrected: -1.547 eV per atom. The total magnetization comes out at 0.00 μB per atom.

[7]
DFT (PBE) results for a relaxed structure of Sr2Ca2F7.

Geometry as CIF:
```
data_Sr2Ca2F7
_chemical_formula_sum 'Sr4 Ca4 F14'
_cell_length_a 7.975
_cell_length_b 8.216
_cell_length_c 5.807
_cell_angle_alpha 90.00
_cell_angle_beta 90.00
_cell_angle_gamma 90.00
_symmetry_space_group_name_H-M 'C m m m'
_symmetry_Int_Tables_number 65
_symmetry_space_group_name_Hall '-C 2 2'
loop_
_atom_site_label
_atom_site_fract_x
_atom_site_fract_y
_atom_site_fract_z
Sr1 0.245 0.000 0.000
Ca1 0.000 0.233 0.500
F1 0.000 0.000 0.264
F2 0.000 0.500 0.500
F3 0.250 0.250 0.259
```

As for the energy: -5.534 eV/atom. As for the energy relative to the elements, uncorrected: -3.674 eV per atom. The total magnetization comes out at 0.08 μB per atom.

[8]
DFT (PBE) results for a relaxed structure of VAsP2.

Geometry as CIF:
```
data_VAsP2
_chemical_formula_sum 'V4 As4 P8'
_cell_length_a 5.566
_cell_length_b 5.566
_cell_length_c 10.932
_cell_angle_alpha 90.00
_cell_angle_beta 90.00
_cell_angle_gamma 90.00
_symmetry_space_group_name_H-M 'I -4 2 d'
_symmetry_Int_Tables_number 122
_symmetry_space_group_name_Hall 'I -4 2bw'
loop_
_atom_site_label
_atom_site_fract_x
_atom_site_fract_y
_atom_site_fract_z
V1 0.000 0.000 0.000
As1 0.000 0.000 0.500
P1 0.233 0.250 0.125
```

As for the energy: -6.052 eV/atom. The formation energy comes out at 95 meV per atom. The total magnetization comes out at 0.49 μB per atom.